Entry 1:
DFT (PBE) results for a geometry-optimized NpTiCo4 structure.

DOS at the Fermi energy = 1.34 states/eV/atom
calculated volume = 320.3 Å³/cell
ΔH_f (0 K) = -13.6 kJ per mole of atoms

Unit cell a=6.842 b=6.842 c=6.842 alpha=90.00 beta=90.00 gamma=90.00
Space group F-43m (No. 216)
Unique sites:
1 Np 0.000 0.000 0.000 [4 per cell]
2 Ti 0.250 0.250 0.750 [4 per cell]
3 Co 0.124 0.124 0.376 [16 per cell]

=====

Entry 2:
DFT (PBE) results for a geometry-optimized Ti3BrCl structure.

DOS at the Fermi energy = 1.04 states/eV/atom
calculated volume = 95.3 Å³/cell
raw formation energy = 0.324 eV/atom

Unit cell a=4.568 b=4.568 c=4.568 alpha=90.00 beta=90.00 gamma=90.00
Space group Pm-3m (No. 221)
Unique sites:
1 Ti 0.000 0.000 0.500 [3 per cell]
2 Br 0.500 0.500 0.500 [1 per cell]
3 Cl 0.000 0.000 0.000 [1 per cell]

=====

Entry 3:
DFT (PBE) results for a geometry-optimized AlSnI3 structure.

DOS at the Fermi energy = 0.66 states/eV/atom
calculated volume = 178.1 Å³/cell
raw formation energy = -0.019 eV/atom

Unit cell a=5.626 b=5.626 c=5.626 alpha=90.00 beta=90.00 gamma=90.00
Space group Pm-3m (No. 221)
Unique sites:
1 Al 0.000 0.000 0.000 [1 per cell]
2 Sn 0.500 0.500 0.500 [1 per cell]
3 I 0.000 0.000 0.500 [3 per cell]

=====

Entry 4:
DFT (PBE) results for a geometry-optimized SrReNiP2 structure.

DOS at the Fermi energy = 0.47 states/eV/atom
calculated volume = 183.8 Å³/cell
ΔH_f (0 K) = -68.7 kJ per mole of atoms

Unit cell a=3.890 b=3.890 c=12.144 alpha=90.00 beta=90.00 gamma=90.00
Space group I-4m2 (No. 119)
Unique sites:
1 Sr 0.000 0.000 0.000 [2 per cell]
2 Re 0.000 0.500 0.750 [2 per cell]
3 Ni 0.000 0.500 0.250 [2 per cell]
4 P 0.000 0.000 0.355 [4 per cell]

=====

Entry 5:
DFT (PBE) results for a geometry-optimized ErGaHg structure.

DOS at the Fermi energy = 0.30 states/eV/atom
calculated volume = 287.1 Å³/cell
ΔH_f (0 K) = -36.9 kJ per mole of atoms

Unit cell a=6.597 b=6.597 c=6.597 alpha=90.00 beta=90.00 gamma=90.00
Space group F-43m (No. 216)
Unique sites:
1 Er 0.000 0.000 0.000 [4 per cell]
2 Ga 0.250 0.250 0.750 [4 per cell]
3 Hg 0.000 0.000 0.500 [4 per cell]

=====

Entry 6:
DFT (PBE) results for a geometry-optimized Nd6Ru2AuBr3 structure.

DOS at the Fermi energy = 0.28 states/eV/atom
calculated volume = 710.0 Å³/cell
raw formation energy = -0.899 eV/atom

Unit cell a=7.224 b=12.513 c=8.214 alpha=90.00 beta=106.99 gamma=90.00
Space group C2/m (No. 12)
Unique sites:
1 Nd 0.209 0.000 0.198 [4 per cell]
2 Nd 0.244 0.322 0.198 [8 per cell]
3 Ru 0.000 0.167 0.000 [4 per cell]
4 Au 0.000 0.500 0.000 [2 per cell]
5 Br 0.000 0.000 0.500 [2 per cell]
6 Br 0.000 0.331 0.500 [4 per cell]